Entry 1:
A plane-wave DFT calculation with PBE was carried out for a relaxed structure of InFeAg2.

energy of formation = 235 meV/atom
raw total energy = -3.9911 eV/atom

Unit cell a=5.2119 b=5.2119 c=4.9085 alpha=76.79 beta=76.79 gamma=32.88
With the nearest neighbours (Å) after each atom.
Fractional positions:
Ag (0.4877, 0.4877, 0.5126)  3 Fe 2.80-3.11, 6 Ag 2.82-2.95, 3 In 2.96-3.02
Ag (0.0123, 0.0123, 0.9874)  3 Fe 2.80-3.11, 6 Ag 2.82-2.95, 3 In 2.96-3.02
In (0.2500, 0.2500, 0.2500)  4 Fe 2.86, 2 In 2.95, 6 Ag 2.96-3.02
Fe (0.7500, 0.7500, 0.7500)  6 Ag 2.80-3.11, 4 In 2.86, 2 Fe 2.95

Entry 2:
A plane-wave DFT calculation with PBE was carried out for a relaxed structure of CsCdIn2Hg8.

energy of formation = -20 meV/atom
raw total energy = -0.8251 eV/atom

Unit cell a=5.9738 b=5.9738 c=11.3116 alpha=86.86 beta=86.86 gamma=69.99
With the nearest neighbours (Å) after each atom.
Fractional positions:
Hg (0.3190, 0.3190, 0.9979)  1 Cd 3.12, 2 Hg 3.16, 1 In 3.21
Hg (0.6810, 0.6810, 0.0021)  1 Cd 3.12, 2 Hg 3.16, 1 In 3.21
Hg (0.6435, 0.6435, 0.5611)  2 In 3.10-3.47, 3 Hg 3.12-3.21
Hg (0.1832, 0.6708, 0.2097)  1 Cd 3.00, 2 In 3.09-3.13, 3 Hg 3.12-3.34
Hg (0.6708, 0.1832, 0.2097)  1 Cd 3.00, 2 In 3.09-3.13, 3 Hg 3.12-3.34
Hg (0.8168, 0.3292, 0.7903)  1 Cd 3.00, 2 In 3.09-3.13, 3 Hg 3.12-3.34
Hg (0.3292, 0.8168, 0.7903)  1 Cd 3.00, 2 In 3.09-3.13, 3 Hg 3.12-3.34
Hg (0.3565, 0.3565, 0.4389)  2 In 3.10-3.47, 3 Hg 3.12-3.21
Cd (0.0000, 0.0000, 0.0000)  6 Hg 3.00-3.12
Cs (0.0000, 0.0000, 0.5000)  10 Hg 3.51-3.83
In (0.6763, 0.6763, 0.2862)  6 Hg 3.09-3.21
In (0.3237, 0.3237, 0.7138)  6 Hg 3.09-3.21

Entry 3:
A plane-wave DFT calculation with PBE was carried out for a relaxed structure of LiMnCr2N.

raw total energy = -7.7194 eV/atom
E_form (uncorrected) = 0.1 eV per formula unit

Unit cell a=3.8021 b=3.7398 c=3.8021 alpha=90.00 beta=90.00 gamma=90.00
With the nearest neighbours (Å) after each atom.
Fractional positions:
N (0.0000, 0.0000, 0.0000)  2 Mn 1.87, 4 Cr 1.90
Mn (0.0000, 0.5000, 0.0000)  2 N 1.87
Cr (0.5000, 0.0000, 0.0000)  2 N 1.90
Cr (0.0000, 0.0000, 0.5000)  2 N 1.90
Li (0.5000, 0.5000, 0.5000)  8 Cr 2.67, 4 Mn 2.69

Entry 4:
A plane-wave DFT calculation with PBE was carried out for a relaxed structure of TcMoOs.

energy of formation = 62 meV/atom
raw total energy = -10.7466 eV/atom

Unit cell a=3.8904 b=3.9030 c=6.2153 alpha=71.72 beta=90.00 gamma=90.00
With the nearest neighbours (Å) after each atom.
Fractional positions:
Os (0.6431, 0.3413, 0.4827)  6 Mo 2.76-2.81, 4 Tc 2.76-2.77, 2 Os 2.78
Os (0.6431, 0.0091, 0.1469)  6 Mo 2.76-2.81, 4 Tc 2.76-2.77, 2 Os 2.78
Mo (0.1431, 0.5132, 0.1388)  4 Tc 2.73, 6 Os 2.76-2.81, 2 Mo 2.85
Mo (0.1431, 0.8372, 0.4908)  4 Tc 2.73, 6 Os 2.76-2.81, 2 Mo 2.85
Tc (0.1431, 0.1752, 0.8148)  4 Mo 2.73, 4 Tc 2.76, 4 Os 2.76
Tc (0.6431, 0.6752, 0.8148)  4 Mo 2.73, 4 Tc 2.76, 4 Os 2.77

Entry 5:
A plane-wave DFT calculation with PBE was carried out for a relaxed structure of Pr2ErIn3.

energy of formation = -480 meV/atom
raw total energy = -4.2034 eV/atom

Unit cell a=3.8207 b=3.8207 c=11.6947 alpha=90.00 beta=90.00 gamma=90.00
With the nearest neighbours (Å) after each atom.
Fractional positions:
Pr (0.5000, 0.5000, 0.8262)  8 In 3.38-3.39
Pr (0.5000, 0.5000, 0.1738)  8 In 3.38-3.39
In (0.0000, 0.0000, 0.3486)  4 Er 3.23, 4 Pr 3.39, 1 In 3.54
In (0.0000, 0.0000, 0.0000)  8 Pr 3.38
In (0.0000, 0.0000, 0.6514)  4 Er 3.23, 4 Pr 3.39, 1 In 3.54
Er (0.5000, 0.5000, 0.5000)  8 In 3.23

Entry 6:
A plane-wave DFT calculation with PBE was carried out for a relaxed structure of LaZrCo2.

energy of formation = -101 meV/atom
raw total energy = -7.0225 eV/atom

Unit cell a=3.7715 b=3.7039 c=5.8108 alpha=71.46 beta=90.00 gamma=90.00
With the nearest neighbours (Å) after each atom.
Fractional positions:
Co (0.0000, 0.2063, 0.9629)  2 Co 2.45, 4 Zr 2.69
Co (0.5000, 0.0638, 0.2472)  2 Co 2.45
Zr (0.5000, 0.7537, 0.8677)  6 Co 2.69-2.79
La (0.0000, 0.4761, 0.4223)  7 Co 2.81-3.14

Entry 7:
A plane-wave DFT calculation with PBE was carried out for a relaxed structure of GeTeI2N.

raw total energy = -2.6438 eV/atom
E_form (uncorrected) = 6.0 eV per formula unit

Unit cell a=5.8158 b=5.8158 c=5.5058 alpha=90.00 beta=90.00 gamma=90.00
With the nearest neighbours (Å) after each atom.
Fractional positions:
N (0.5000, 0.5000, 0.5000)  8 I 4.00, 4 Te 4.11
I (0.0000, 0.5000, 0.0000)  2 Ge 2.91
I (0.5000, 0.0000, 0.0000)  2 Ge 2.91
Ge (0.0000, 0.0000, 0.0000)  2 Te 2.75, 4 I 2.91
Te (0.0000, 0.0000, 0.5000)  2 Ge 2.75

Entry 8:
A plane-wave DFT calculation with PBE was carried out for a relaxed structure of SrLa2Ir.

energy of formation = -460 meV/atom
raw total energy = -5.5599 eV/atom

Unit cell a=10.4459 b=10.4459 c=10.4459 alpha=23.52 beta=23.52 gamma=23.52
With the nearest neighbours (Å) after each atom.
Fractional positions:
La (0.0343, 0.0343, 0.0343)  3 Ir 2.88
La (0.4657, 0.4657, 0.4657)  3 Ir 2.88
Ir (0.7500, 0.7500, 0.7500)  6 La 2.88
Sr (0.2500, 0.2500, 0.2500)  6 Sr 4.26, 6 La 4.35